*A*
VASP calculation (PBE) on a geometry-optimized KCaZn3 structure.

Lattice parameters (Å, degrees): 5.818 5.818 5.818 90.00 90.00 90.00
Fractional positions:
K  0.000  0.000  0.000
Ca  0.500  0.500  0.500
Zn  0.000  0.500  0.500
Zn  0.500  0.000  0.500
Zn  0.500  0.500  0.000

Properties
N(E_F)	3.6	states/eV per cell
space-group type	Pm-3m (221)

---

*B*
VASP calculation (PBE) on a geometry-optimized KCaZn3 structure.

Lattice parameters (Å, degrees): 5.641 5.641 5.641 90.00 90.00 90.00
Fractional positions:
K  0.000  0.000  0.000
Ca  0.500  0.500  0.500
Zn  0.000  0.000  0.500
Zn  0.000  0.500  0.000
Zn  0.500  0.000  0.000

Properties
N(E_F)	3.0	states/eV per cell
space-group type	Pm-3m (221)

---

In terms of stability, *A* leads; the second structure lies 254 meV/atom higher.

---

*A*
VASP calculation (PBE) on a geometry-optimized K2CaZn2 structure.

Lattice parameters (Å, degrees): 8.027 8.027 5.731 90.00 90.00 90.00
Fractional positions:
K  0.174  0.326  0.000
K  0.326  0.826  0.000
K  0.674  0.174  0.000
K  0.826  0.674  0.000
Ca  0.000  0.000  0.500
Ca  0.500  0.500  0.500
Zn  0.115  0.615  0.500
Zn  0.385  0.115  0.500
Zn  0.615  0.885  0.500
Zn  0.885  0.385  0.500

Properties
N(E_F)	6.4	states/eV per cell
space-group type	P4/mbm (127)

---

*B*
VASP calculation (PBE) on a geometry-optimized K2CaZn2 structure.

Lattice parameters (Å, degrees): 8.320 8.320 8.320 146.19 146.19 48.57
Fractional positions:
K  0.250  0.750  0.500
K  0.750  0.250  0.500
Ca  0.000  0.000  0.000
Zn  0.418  0.418  0.000
Zn  0.582  0.582  0.000

Properties
N(E_F)	6.1	states/eV per cell
space-group type	I4/mmm (139)

---

In terms of stability, *A* leads; the second structure lies 90 meV/atom higher.